No. 1
Density functional theory data (meta-GGA SCAN) for a PBEsol-optimized structure of TiBi2WC.

```
TiBi2WC
1.0
4.873 0.000 0.000
0.000 4.873 0.000
0.000 0.000 3.926
Ti Bi W C
1 2 1 1
Direct
0.000 0.000 0.000
0.000 0.500 0.500
0.500 0.000 0.500
0.500 0.500 0.000
0.000 0.000 0.500
```

Its space group is P4/mmm, No. 123. The total magnetic moment comes out at 0.00 μB per atom. The value obtained for the formation energy from the elements is 5.808 eV/f.u.



No. 2
Density functional theory data (meta-GGA SCAN) for a PBEsol-optimized structure of YBiC3.

```
YBiC3
1.0
4.419 0.000 0.000
0.000 4.419 0.000
0.000 0.000 4.419
Y Bi C
1 1 3
Direct
0.000 0.000 0.000
0.500 0.500 0.500
0.000 0.000 0.500
0.000 0.500 0.000
0.500 0.000 0.000
```

Its space group is Pm-3m, No. 221. The total magnetic moment comes out at 0.00 μB per atom. The value obtained for the formation energy from the elements is 12.519 eV/f.u.



No. 3
Density functional theory data (meta-GGA SCAN) for a PBEsol-optimized structure of Zn2BiC.

```
Zn2BiC
1.0
6.020 0.000 0.000
0.000 6.020 0.000
0.000 0.000 8.614
Zn Bi C
8 4 4
Direct
0.070 0.750 0.125
0.250 0.070 0.875
0.250 0.430 0.375
0.430 0.750 0.625
0.570 0.250 0.625
0.750 0.570 0.375
0.750 0.930 0.875
0.930 0.250 0.125
0.000 0.000 0.500
0.000 0.500 0.750
0.500 0.000 0.250
0.500 0.500 0.000
0.000 0.000 0.000
0.000 0.500 0.250
0.500 0.000 0.750
0.500 0.500 0.500
```

Its space group is I-42d, No. 122. The total magnetic moment comes out at 0.00 μB per atom. The value obtained for the formation energy from the elements is 2.781 eV/f.u.